DFT (GGA-PBEsol) results for LiFe2Ni after structural relaxation.

E_tot: -25.3 eV per formula unit
calculated formation energy: 0.73 eV per formula unit
crystal system: orthorhombic
calculated volume: 11.0 Å³/atom
magnetic moment: 1.3410 μB per atom

Unit cell a=2.424 b=3.614 c=5.006 alpha=90.00 beta=90.00 gamma=90.00
Positions (direct):
1 Li 0.000 0.000 0.506
2 Fe 0.000 0.000 0.994
3 Fe 0.500 0.500 0.249
4 Ni 0.500 0.500 0.750

DFT (GGA-PBEsol) results for Li5Fe2Ni5O12 after structural relaxation.

E_tot: -152.3 eV per formula unit
formation energy (no corrections): -1.281 eV per atom
crystal system: monoclinic
calculated volume: 8.2 Å³/atom
magnetic moment: 0.2843 μB per atom

Unit cell a=4.888 b=4.961 c=9.508 alpha=84.64 beta=79.07 gamma=60.49
Positions (direct):
1 O 0.621 0.504 0.382
2 O 0.224 0.801 0.616
3 O 0.395 0.488 0.117
4 O 0.764 0.202 0.882
5 O 0.117 0.488 0.883
6 O 0.477 0.821 0.886
7 O 0.298 0.180 0.384
8 O 0.701 0.821 0.114
9 O 0.034 0.202 0.118
10 O 0.875 0.504 0.618
11 O 0.975 0.801 0.384
12 O 0.522 0.180 0.616
13 Ni 0.005 0.506 0.244
14 Ni 0.582 0.836 0.500
15 Ni 0.489 0.506 0.756
16 Ni 0.917 0.166 0.500
17 Ni 0.418 0.164 0.000
18 Fe 0.746 0.508 0.000
19 Fe 0.253 0.495 0.500
20 Li 0.334 0.833 0.246
21 Li 0.165 0.164 0.757
22 Li 0.833 0.833 0.754
23 Li 0.672 0.164 0.243
24 Li 0.083 0.834 0.000

DFT (GGA-PBEsol) results for LiFeNiO4 after structural relaxation.

E_tot: -47.5 eV per formula unit
formation energy (no corrections): -1.348 eV per atom
crystal system: orthorhombic
calculated volume: 9.1 Å³/atom
magnetic moment: 0.1420 μB per atom

Unit cell a=5.687 b=5.675 c=5.487 alpha=118.91 beta=90.00 gamma=120.07
Positions (direct):
1 Li 0.878 0.755 0.128
2 Li 0.122 0.245 0.872
3 O 0.291 0.029 0.265
4 O 0.731 0.462 0.253
5 O 0.269 0.538 0.291
6 O 0.262 0.971 0.735
7 O 0.738 0.029 0.265
8 O 0.269 0.538 0.747
9 O 0.709 0.971 0.735
10 O 0.731 0.462 0.709
11 Fe 0.500 0.000 0.500
12 Fe 0.500 0.000 0.000
13 Ni 0.000 0.500 0.500
14 Ni 0.500 0.500 0.500

DFT (GGA-PBEsol) results for Li2FeNiO4 after structural relaxation.

E_tot: -51.6 eV per formula unit
formation energy (no corrections): -1.447 eV per atom
crystal system: tetragonal
calculated volume: 8.1 Å³/atom
magnetic moment: 0.4048 μB per atom

Unit cell a=3.991 b=3.991 c=4.938 alpha=113.84 beta=113.84 gamma=90.00
Positions (direct):
1 Li 0.250 0.750 0.500
2 Li 0.500 0.500 0.000
3 O 0.980 0.480 0.959
4 O 0.765 0.765 0.530
5 O 0.235 0.235 0.470
6 O 0.520 0.020 0.041
7 Fe 0.750 0.250 0.500
8 Ni 0.000 0.000 0.000

DFT (GGA-PBEsol) results for Li6Fe5NiO12 after structural relaxation.

E_tot: -162.5 eV per formula unit
formation energy (no corrections): -1.531 eV per atom
crystal system: monoclinic
calculated volume: 8.1 Å³/atom
magnetic moment: 0.3337 μB per atom

Unit cell a=4.836 b=4.836 c=9.701 alpha=94.75 beta=94.75 gamma=120.04
Positions (direct):
1 Fe 0.833 0.167 0.500
2 Fe 0.500 0.500 0.500
3 Fe 0.333 0.667 0.000
4 Fe 0.667 0.333 0.000
5 Fe 0.167 0.833 0.500
6 Li 0.085 0.085 0.252
7 Li 0.581 0.248 0.745
8 Li 0.248 0.581 0.745
9 Li 0.752 0.419 0.255
10 Li 0.915 0.915 0.748
11 Li 0.419 0.752 0.255
12 O 0.462 0.130 0.391
13 O 0.201 0.201 0.608
14 O 0.313 0.962 0.886
15 O 0.870 0.538 0.609
16 O 0.038 0.687 0.114
17 O 0.962 0.313 0.886
18 O 0.390 0.390 0.114
19 O 0.610 0.610 0.886
20 O 0.130 0.462 0.391
21 O 0.538 0.870 0.609
22 O 0.799 0.799 0.392
23 O 0.687 0.038 0.114
24 Ni 0.000 0.000 0.000

DFT (GGA-PBEsol) results for Li3FeNi4O8 after structural relaxation.

E_tot: -101.0 eV per formula unit
formation energy (no corrections): -1.222 eV per atom
crystal system: monoclinic
calculated volume: 8.3 Å³/atom
magnetic moment: 0.0612 μB per atom

Unit cell a=5.723 b=5.766 c=5.707 alpha=120.31 beta=90.00 gamma=119.76
Positions (direct):
1 Fe 0.500 0.000 0.000
2 Ni 0.500 0.500 0.000
3 Ni 0.000 0.000 0.000
4 Ni 0.500 0.000 0.500
5 Ni 0.000 0.500 0.000
6 Li 0.000 0.500 0.500
7 Li 0.000 0.000 0.500
8 Li 0.500 0.500 0.500
9 O 0.737 0.001 0.236
10 O 0.269 0.539 0.783
11 O 0.248 0.496 0.224
12 O 0.263 0.999 0.764
13 O 0.736 0.999 0.764
14 O 0.731 0.461 0.217
15 O 0.752 0.504 0.776
16 O 0.264 0.001 0.236